Computed, not measured: an optimized crystal structure of NaCoPO4 at the PBE with a Hubbard U level of DFT.

Calculated values
**SG**: P2_1/c
**Energy above the most stable polymorph in this dataset**: 0.00 eV per formula unit
**Uncorrected energy**: -6.50 eV per atom
**Fermi-level density of states**: 0.000 states/eV/atom

Geometry as POSCAR:
```
NaCoPO4
1.0
5.304 0.000 0.000
0.000 10.200 0.000
-5.284 0.000 7.453
Na Co P O
4 4 4 16
Direct
0.200 0.122 0.483
0.200 0.378 0.983
0.800 0.622 0.017
0.800 0.878 0.517
0.305 0.667 0.510
0.305 0.833 0.010
0.695 0.167 0.990
0.695 0.333 0.490
0.423 0.100 0.220
0.423 0.400 0.720
0.577 0.600 0.280
0.577 0.900 0.780
0.118 0.130 0.201
0.118 0.370 0.701
0.303 0.648 0.089
0.303 0.852 0.589
0.419 0.172 0.069
0.419 0.328 0.569
0.471 0.550 0.717
0.471 0.950 0.217
0.529 0.050 0.783
0.529 0.450 0.283
0.581 0.672 0.431
0.581 0.828 0.931
0.697 0.148 0.411
0.697 0.352 0.911
0.882 0.630 0.299
0.882 0.870 0.799
```